1.
# Cs2AuSeBr6 (PBE, optimized geometry)
data_Cs2AuSeBr6
_space_group_name_H-M_alt 'I 4/m m m'
_space_group_IT_number 139
_space_group_name_Hall '-I 4 2'
_cell_length_a 7.850
_cell_length_b 7.850
_cell_length_c 11.486
_cell_angle_alpha 90.00
_cell_angle_beta 90.00
_cell_angle_gamma 90.00
loop_
_atom_site_label
_atom_site_fract_x
_atom_site_fract_y
_atom_site_fract_z
Cs1 0.000 0.500 0.250
Au1 0.000 0.000 0.000
Se1 0.000 0.000 0.500
Br1 0.000 0.000 0.220
Br2 0.238 0.238 0.500
# energy relative to the elements, uncorrected = -0.822 eV per atom



2.
# Sm2Dy2Er2Th (PBE, optimized geometry)
data_Sm2Dy2Er2Th
_space_group_name_H-M_alt 'C 1 2/m 1'
_space_group_IT_number 12
_space_group_name_Hall '-C 2y'
_cell_length_a 17.615
_cell_length_b 3.518
_cell_length_c 8.308
_cell_angle_alpha 90.00
_cell_angle_beta 116.25
_cell_angle_gamma 90.00
loop_
_atom_site_label
_atom_site_fract_x
_atom_site_fract_y
_atom_site_fract_z
Sm1 0.143 0.000 0.386
Dy1 0.071 0.000 0.898
Er1 0.212 0.500 0.795
Th1 0.000 0.500 0.500
# energy relative to the elements = 121 meV per atom



3.
# MgCdP2 (PBE, optimized geometry)
data_MgCdP2
_space_group_name_H-M_alt 'R -3 m'
_space_group_IT_number 166
_space_group_name_Hall '-R 3 2"'
_cell_length_a 2.9983
_cell_length_b 2.9983
_cell_length_c 28.9744
_cell_angle_alpha 90.00
_cell_angle_beta 90.00
_cell_angle_gamma 120.00
loop_
_atom_site_label
_atom_site_fract_x
_atom_site_fract_y
_atom_site_fract_z
Mg1 0.0000 0.0000 0.0000
Cd1 0.0000 0.0000 0.5000
P1 0.0000 0.0000 0.2635
# energy relative to the elements = 215 meV per atom
# offset from the most stable computed form = 127.9 kJ/mol of formula units



4.
# BeTe2Ir (PBE, optimized geometry)
data_BeTe2Ir
_space_group_name_H-M_alt 'I -4 m 2'
_space_group_IT_number 119
_space_group_name_Hall 'I -4 -2'
_cell_length_a 4.293
_cell_length_b 4.293
_cell_length_c 8.371
_cell_angle_alpha 90.00
_cell_angle_beta 90.00
_cell_angle_gamma 90.00
loop_
_atom_site_label
_atom_site_fract_x
_atom_site_fract_y
_atom_site_fract_z
Be1 0.000 0.000 0.000
Te1 0.000 0.000 0.500
Te2 0.000 0.500 0.250
Ir1 0.000 0.500 0.750
# energy relative to the elements, uncorrected = 0.765 eV per atom



5.
# ZrTaCu2 (PBE, optimized geometry)
data_ZrTaCu2
_space_group_name_H-M_alt 'I -4 2 d'
_space_group_IT_number 122
_space_group_name_Hall 'I -4 2bw'
_cell_length_a 7.231
_cell_length_b 7.231
_cell_length_c 5.295
_cell_angle_alpha 90.00
_cell_angle_beta 90.00
_cell_angle_gamma 90.00
loop_
_atom_site_label
_atom_site_fract_x
_atom_site_fract_y
_atom_site_fract_z
Zr1 0.000 0.000 0.000
Ta1 0.000 0.000 0.500
Cu1 0.234 0.250 0.625
# energy relative to the elements = 442 meV per atom



6.
# AlCdPb2 (PBE, optimized geometry)
data_AlCdPb2
_space_group_name_H-M_alt 'C m m 2'
_space_group_IT_number 35
_space_group_name_Hall 'C 2 -2'
_cell_length_a 3.525
_cell_length_b 5.736
_cell_length_c 10.610
_cell_angle_alpha 90.00
_cell_angle_beta 90.00
_cell_angle_gamma 90.00
loop_
_atom_site_label
_atom_site_fract_x
_atom_site_fract_y
_atom_site_fract_z
Al1 0.000 0.000 0.000
Cd1 0.000 0.500 0.213
Pb1 0.000 0.000 0.468
Pb2 0.000 0.500 0.757
# energy relative to the elements = 173 meV per atom